Compound: In2GaHg2
Source: the Alexandria database
Functional: PBE-GGA
Structure: relaxed

Geometry as CIF:
```
data_In2GaHg2
_chemical_formula_sum 'In4 Ga2 Hg4'
_cell_length_a 4.189
_cell_length_b 4.189
_cell_length_c 15.575
_cell_angle_alpha 90.00
_cell_angle_beta 90.00
_cell_angle_gamma 90.00
_space_group_name_H-M_alt 'I 4/m m m'
_space_group_IT_number 139
_space_group_name_Hall '-I 4 2'
loop_
_atom_site_label
_atom_site_type_symbol
_atom_site_fract_x
_atom_site_fract_y
_atom_site_fract_z
In1 In 0.000 0.000 0.097
Ga1 Ga 0.000 0.000 0.500
Hg1 Hg 0.000 0.500 0.250
```

## Properties
- Distance to the lowest polymorph of the same formula: 0.28 eV per formula unit


Compound: In8GaHg2
Source: the Alexandria database
Functional: PBE-GGA
Structure: relaxed

Geometry as CIF:
```
data_In8GaHg2
_chemical_formula_sum 'In16 Ga2 Hg4'
_cell_length_a 9.178
_cell_length_b 18.757
_cell_length_c 3.582
_cell_angle_alpha 90.00
_cell_angle_beta 97.62
_cell_angle_gamma 90.00
_space_group_name_H-M_alt 'C 1 2/m 1'
_space_group_IT_number 12
loop_
_space_group_symop_operation_xyz
'x,y,z'
'-x,-y,-z'
'-x,y,-z'
'x,-y,z'
'x+1/2,y+1/2,z'
'-x+1/2,-y+1/2,-z'
'-x+1/2,y+1/2,-z'
'x+1/2,-y+1/2,z'
loop_
_atom_site_label
_atom_site_type_symbol
_atom_site_fract_x
_atom_site_fract_y
_atom_site_fract_z
In1 In 0.000 0.229 0.000
In2 In 0.153 0.500 0.868
In3 In 0.179 0.118 0.585
Ga1 Ga 0.000 0.000 0.000
Hg1 Hg 0.000 0.359 0.500
```

## Properties
- Distance to the lowest polymorph of the same formula: 0.52 eV per formula unit


Compound: In8Ga2Hg
Source: the Alexandria database
Functional: PBE-GGA
Structure: relaxed

Geometry as CIF:
```
data_In8Ga2Hg
_chemical_formula_sum 'In16 Ga4 Hg2'
_cell_length_a 15.797
_cell_length_b 6.401
_cell_length_c 5.716
_cell_angle_alpha 90.00
_cell_angle_beta 90.79
_cell_angle_gamma 90.00
_space_group_name_H-M_alt 'C 1 2/m 1'
_space_group_IT_number 12
loop_
_space_group_symop_operation_xyz
'x,y,z'
'-x,-y,-z'
'-x,y,-z'
'x,-y,z'
'x+1/2,y+1/2,z'
'-x+1/2,-y+1/2,-z'
'-x+1/2,y+1/2,-z'
'x+1/2,-y+1/2,z'
loop_
_atom_site_label
_atom_site_type_symbol
_atom_site_fract_x
_atom_site_fract_y
_atom_site_fract_z
In1 In 0.094 0.249 0.078
In2 In 0.098 0.500 0.568
In3 In 0.197 0.000 0.590
Ga1 Ga 0.245 0.500 0.913
Hg1 Hg 0.000 0.000 0.500
```

## Properties
- Distance to the lowest polymorph of the same formula: 0.20 eV per formula unit


Compound: In6GaHg12
Source: the Alexandria database
Functional: PBE-GGA
Structure: relaxed

Geometry as CIF:
```
data_In6GaHg12
_chemical_formula_sum 'In18 Ga3 Hg36'
_cell_length_a 11.1515
_cell_length_b 11.1515
_cell_length_c 14.7693
_cell_angle_alpha 90.00
_cell_angle_beta 90.00
_cell_angle_gamma 120.00
_space_group_name_H-M_alt 'R -3'
_space_group_IT_number 148
_space_group_name_Hall '-R 3'
loop_
_atom_site_label
_atom_site_type_symbol
_atom_site_fract_x
_atom_site_fract_y
_atom_site_fract_z
In1 In 0.0130 0.5027 0.1923
Ga1 Ga 0.0000 0.0000 0.5000
Hg1 Hg 0.0330 0.1807 0.3116
Hg2 Hg 0.1079 0.8893 0.9130
```

## Properties
- Distance to the lowest polymorph of the same formula: 0.44 eV per formula unit


Compound: In2GaHg3
Source: the Alexandria database
Functional: PBE-GGA
Structure: relaxed

Geometry as CIF:
```
data_In2GaHg3
_chemical_formula_sum 'In8 Ga4 Hg12'
_cell_length_a 13.644
_cell_length_b 5.822
_cell_length_c 7.820
_cell_angle_alpha 90.00
_cell_angle_beta 90.00
_cell_angle_gamma 90.00
_space_group_name_H-M_alt 'C m c 21'
_space_group_IT_number 36
loop_
_space_group_symop_operation_xyz
'x,y,z'
'-x,-y,z+1/2'
'-x,y,z'
'x,-y,z+1/2'
'x+1/2,y+1/2,z'
'-x+1/2,-y+1/2,z+1/2'
'-x+1/2,y+1/2,z'
'x+1/2,-y+1/2,z+1/2'
loop_
_atom_site_label
_atom_site_type_symbol
_atom_site_fract_x
_atom_site_fract_y
_atom_site_fract_z
In1 In 0.173 0.055 0.000
Ga1 Ga 0.000 0.409 0.498
Hg1 Hg 0.000 0.003 0.250
Hg2 Hg 0.153 0.496 0.749
```

## Properties
- Distance to the lowest polymorph of the same formula: 0.00 eV per formula unit


Compound: In16GaHg12
Source: the Alexandria database
Functional: PBE-GGA
Structure: relaxed

Geometry as CIF:
```
data_In16GaHg12
_chemical_formula_sum 'In32 Ga2 Hg24'
_cell_length_a 11.505
_cell_length_b 16.792
_cell_length_c 9.819
_cell_angle_alpha 90.00
_cell_angle_beta 125.60
_cell_angle_gamma 90.00
_space_group_name_H-M_alt 'C 1 m 1'
_space_group_IT_number 8
loop_
_space_group_symop_operation_xyz
'x,y,z'
'x,-y,z'
'x+1/2,y+1/2,z'
'x+1/2,-y+1/2,z'
loop_
_atom_site_label
_atom_site_type_symbol
_atom_site_fract_x
_atom_site_fract_y
_atom_site_fract_z
In1 In 0.000 0.000 0.000
In2 In 0.011 0.334 0.848
In3 In 0.034 0.323 0.247
In4 In 0.065 0.000 0.565
In5 In 0.172 0.208 0.604
In6 In 0.323 0.391 0.239
In7 In 0.347 0.317 0.949
In8 In 0.353 0.000 0.244
In9 In 0.375 0.000 0.621
In10 In 0.426 0.381 0.705
Ga1 Ga 0.201 0.500 0.889
Hg1 Hg 0.037 0.500 0.041
Hg2 Hg 0.086 0.394 0.580
Hg3 Hg 0.131 0.103 0.320
Hg4 Hg 0.193 0.202 0.099
Hg5 Hg 0.214 0.500 0.426
Hg6 Hg 0.262 0.097 0.902
Hg7 Hg 0.363 0.245 0.470
```

## Properties
- Energy: -1.715 eV per atom